--- i ---
Crystalline Pm2Al3Cd at its relaxed geometry, computed with GGA-PBE.

Output
V = 281.9 Å³ per cell
spin magnetization = 0.00 μB per formula unit
symmetry = Fmmm (69)

Cell lengths 5.986, 5.986, 8.889 Å; angles 105.20, 105.20, 102.77 degrees
Fractional coordinates of all 12 atoms:
1 Cd 0.333 0.333 0.666
2 Cd 0.667 0.667 0.334
3 Al 0.836 0.836 0.672
4 Al 0.672 0.164 0.836
5 Al 0.164 0.672 0.836
6 Al 0.328 0.836 0.164
7 Al 0.836 0.328 0.164
8 Al 0.164 0.164 0.328
9 Pm 0.250 0.750 0.500
10 Pm 0.749 0.749 0.000
11 Pm 0.750 0.250 0.500
12 Pm 0.251 0.251 0.000

---

--- ii ---
Crystalline Pm2Al3Cd at its relaxed geometry, computed with GGA-PBE.

Output
V = 147.9 Å³ per cell
spin magnetization = 0.00 μB per formula unit
symmetry = Imm2 (44)

Cell lengths 4.040, 4.600, 8.528 Å; angles 105.65, 103.70, 90.00 degrees
Fractional coordinates of all 6 atoms:
1 Pm 0.861 0.361 0.723
2 Pm 0.137 0.137 0.275
3 Cd 0.461 0.961 0.922
4 Al 0.295 0.795 0.591
5 Al 0.702 0.702 0.405
6 Al 0.542 0.542 0.085

---

Which of them is most stable, and which least? Most stable: i; least stable: ii.

---

--- i ---
Crystalline Pm4AlCd3 at its relaxed geometry, computed with GGA-PBE.

Output
V = 219.5 Å³ per cell
spin magnetization = 0.70 μB per formula unit
symmetry = P4/mmm (123)

Cell lengths 3.757, 3.757, 15.552 Å; angles 90.00, 90.00, 90.00 degrees
Fractional coordinates of all 8 atoms:
1 Cd 0.500 0.500 0.245
2 Cd 0.500 0.500 0.500
3 Cd 0.500 0.500 0.755
4 Pm 0.000 0.000 0.884
5 Pm 0.000 0.000 0.116
6 Pm 0.000 0.000 0.628
7 Pm 0.000 0.000 0.372
8 Al 0.500 0.500 0.000

---

--- ii ---
Crystalline Pm4AlCd3 at its relaxed geometry, computed with GGA-PBE.

Output
V = 221.3 Å³ per cell
spin magnetization = 0.00 μB per formula unit
symmetry = Pmm2 (25)

Cell lengths 3.642, 4.891, 12.425 Å; angles 90.00, 90.00, 90.00 degrees
Fractional coordinates of all 8 atoms:
1 Pm 0.000 0.000 0.156
2 Pm 0.500 0.500 0.335
3 Pm 0.000 0.500 0.845
4 Pm 0.500 0.000 0.661
5 Al 0.500 0.500 0.070
6 Cd 0.500 0.000 0.934
7 Cd 0.000 0.000 0.429
8 Cd 0.000 0.500 0.569

---

Which of them is most stable, and which least? Most stable: i; least stable: ii.

---

--- i ---
Crystalline Pm8AlCd2 at its relaxed geometry, computed with GGA-PBE.

Output
V = 339.6 Å³ per cell
spin magnetization = 0.00 μB per formula unit
symmetry = C2/m (12)

Cell lengths 5.340, 7.284, 9.573 Å; angles 107.51, 106.20, 90.00 degrees
Fractional coordinates of all 11 atoms:
1 Pm 0.409 0.545 0.818
2 Pm 0.194 0.292 0.389
3 Pm 0.336 0.038 0.672
4 Pm 0.020 0.770 0.039
5 Pm 0.591 0.455 0.182
6 Pm 0.806 0.708 0.611
7 Pm 0.664 0.962 0.328
8 Pm 0.980 0.230 0.961
9 Cd 0.182 0.706 0.364
10 Cd 0.818 0.294 0.636
11 Al 0.500 0.000 0.000

---

--- ii ---
Crystalline Pm8AlCd2 at its relaxed geometry, computed with GGA-PBE.

Output
V = 336.4 Å³ per cell
spin magnetization = 0.00 μB per formula unit
symmetry = C2/m (12)

Cell lengths 5.435, 8.713, 8.727 Å; angles 119.36, 108.14, 90.00 degrees
Fractional coordinates of all 11 atoms:
1 Al 0.500 0.000 0.000
2 Pm 0.132 0.181 0.264
3 Pm 0.321 0.050 0.643
4 Pm 0.070 0.720 0.140
5 Pm 0.679 0.950 0.357
6 Pm 0.410 0.559 0.820
7 Pm 0.930 0.280 0.860
8 Pm 0.868 0.819 0.736
9 Pm 0.590 0.441 0.180
10 Cd 0.772 0.384 0.543
11 Cd 0.228 0.616 0.457

---

Which of them is most stable, and which least? Most stable: ii; least stable: i.

---

--- i ---
Crystalline PmAl2Cd at its relaxed geometry, computed with GGA-PBE.

Output
V = 88.4 Å³ per cell
spin magnetization = 0.00 μB per formula unit
symmetry = P4/mmm (123)

Cell lengths 4.388, 4.489, 4.489 Å; angles 90.00, 90.00, 90.00 degrees
Fractional coordinates of all 4 atoms:
1 Al 0.000 0.500 0.000
2 Al 0.000 0.000 0.500
3 Cd 0.500 0.500 0.500
4 Pm 0.500 0.000 0.000

---

--- ii ---
Crystalline PmAl2Cd at its relaxed geometry, computed with GGA-PBE.

Output
V = 88.1 Å³ per cell
spin magnetization = 0.00 μB per formula unit
symmetry = Fm-3m (225)

Cell lengths 4.995, 4.995, 4.994 Å; angles 59.99, 59.99, 60.00 degrees
Fractional coordinates of all 4 atoms:
1 Cd 0.000 0.000 0.000
2 Pm 0.500 0.500 0.500
3 Al 0.250 0.250 0.250
4 Al 0.750 0.750 0.750

---

Which of them is most stable, and which least? Most stable: i; least stable: ii.

---

--- i ---
Crystalline Pm2AlCd3 at its relaxed geometry, computed with GGA-PBE.

Output
V = 150.7 Å³ per cell
spin magnetization = 0.00 μB per formula unit
symmetry = Pmm2 (25)

Cell lengths 3.621, 4.906, 8.486 Å; angles 90.00, 90.00, 90.00 degrees
Fractional coordinates of all 6 atoms:
1 Al 0.500 0.500 0.334
2 Cd 0.500 0.500 0.662
3 Cd 0.500 0.000 0.833
4 Cd 0.500 0.000 0.171
5 Pm 0.000 0.000 0.493
6 Pm 0.000 0.500 0.008

---

--- ii ---
Crystalline Pm2AlCd3 at its relaxed geometry, computed with GGA-PBE.

Output
V = 160.2 Å³ per cell
spin magnetization = 0.00 μB per formula unit
symmetry = Imm2 (44)

Cell lengths 3.992, 4.595, 9.250 Å; angles 104.38, 102.46, 90.00 degrees
Fractional coordinates of all 6 atoms:
1 Cd 0.698 0.698 0.396
2 Cd 0.537 0.537 0.074
3 Cd 0.306 0.806 0.612
4 Pm 0.884 0.384 0.769
5 Pm 0.114 0.114 0.228
6 Al 0.461 0.961 0.921

---

Which of them is most stable, and which least? Most stable: i; least stable: ii.

---

--- i ---
Crystalline PmAlCd at its relaxed geometry, computed with GGA-PBE.

Output
V = 72.7 Å³ per cell
spin magnetization = 0.00 μB per formula unit
symmetry = P-6m2 (187)

Cell lengths 3.671, 4.783, 4.783 Å; angles 120.00, 90.00, 90.00 degrees
Fractional coordinates of all 3 atoms:
1 Pm 0.667 0.333 0.667
2 Al 0.167 0.667 0.333
3 Cd 0.166 0.000 0.000

---

--- ii ---
Crystalline PmAlCd at its relaxed geometry, computed with GGA-PBE.

Output
V = 145.9 Å³ per cell
spin magnetization = 0.01 μB per formula unit
symmetry = C2/m (12)

Cell lengths 4.746, 6.065, 6.014 Å; angles 76.94, 66.76, 66.97 degrees
Fractional coordinates of all 6 atoms:
1 Al 0.157 0.377 0.309
2 Al 0.843 0.623 0.691
3 Cd 0.829 0.223 0.119
4 Cd 0.171 0.777 0.881
5 Pm 0.532 0.217 0.720
6 Pm 0.468 0.783 0.280

---

Which of them is most stable, and which least? Most stable: ii; least stable: i.

---

--- i ---
Crystalline PmAlCd at its relaxed geometry, computed with GGA-PBE.

Output
V = 165.6 Å³ per cell
spin magnetization = 0.00 μB per formula unit
symmetry = R-3m (166)

Cell lengths 4.809, 4.809, 8.722 Å; angles 74.00, 74.00, 60.00 degrees
Fractional coordinates of all 6 atoms:
1 Al 0.307 0.307 0.078
2 Al 0.693 0.693 0.922
3 Pm 0.427 0.427 0.719
4 Pm 0.573 0.573 0.281
5 Cd 0.821 0.821 0.537
6 Cd 0.179 0.179 0.463

---

--- ii ---
Crystalline PmAlCd at its relaxed geometry, computed with GGA-PBE.

Output
V = 71.5 Å³ per cell
spin magnetization = 0.00 μB per formula unit
symmetry = I4mm (107)

Cell lengths 3.429, 3.429, 6.548 Å; angles 105.18, 105.18, 90.00 degrees
Fractional coordinates of all 3 atoms:
1 Al 0.273 0.273 0.546
2 Pm 0.942 0.942 0.884
3 Cd 0.635 0.635 0.270

---

--- iii ---
Crystalline PmAlCd at its relaxed geometry, computed with GGA-PBE.

Output
V = 156.0 Å³ per cell
spin magnetization = 0.00 μB per formula unit
symmetry = C2/m (12)

Cell lengths 4.124, 4.582, 8.820 Å; angles 105.05, 103.71, 90.00 degrees
Fractional coordinates of all 6 atoms:
1 Cd 0.042 0.296 0.592
2 Cd 0.958 0.704 0.408
3 Pm 0.356 0.105 0.210
4 Pm 0.644 0.895 0.790
5 Al 0.794 0.543 0.086
6 Al 0.206 0.457 0.914

---

Which of them is most stable, and which least? Most stable: iii; least stable: i.

---

--- i ---
Crystalline Pm8Al2Cd at its relaxed geometry, computed with GGA-PBE.

Output
V = 331.3 Å³ per cell
spin magnetization = 0.00 μB per formula unit
symmetry = C2/m (12)

Cell lengths 5.375, 8.639, 8.682 Å; angles 118.56, 108.03, 90.00 degrees
Fractional coordinates of all 11 atoms:
1 Al 0.227 0.625 0.453
2 Al 0.773 0.375 0.547
3 Pm 0.858 0.800 0.716
4 Pm 0.601 0.452 0.202
5 Pm 0.318 0.046 0.635
6 Pm 0.142 0.200 0.284
7 Pm 0.933 0.280 0.866
8 Pm 0.067 0.720 0.134
9 Pm 0.682 0.954 0.365
10 Pm 0.399 0.548 0.798
11 Cd 0.500 0.000 0.000

---

--- ii ---
Crystalline Pm8Al2Cd at its relaxed geometry, computed with GGA-PBE.

Output
V = 330.1 Å³ per cell
spin magnetization = 0.00 μB per formula unit
symmetry = C2/m (12)

Cell lengths 5.028, 7.864, 9.147 Å; angles 107.60, 105.95, 90.00 degrees
Fractional coordinates of all 11 atoms:
1 Pm 0.963 0.258 0.925
2 Pm 0.328 0.068 0.655
3 Pm 0.822 0.740 0.645
4 Pm 0.037 0.742 0.075
5 Pm 0.178 0.260 0.355
6 Pm 0.601 0.461 0.202
7 Pm 0.672 0.932 0.345
8 Pm 0.399 0.539 0.798
9 Cd 0.500 0.000 0.000
10 Al 0.793 0.320 0.586
11 Al 0.207 0.680 0.414

---

Which of them is most stable, and which least? Most stable: i; least stable: ii.

---

--- i ---
Crystalline PmScAlCd at its relaxed geometry, computed with GGA-PBE.

Output
V = 94.4 Å³ per cell
spin magnetization = 0.00 μB per formula unit
symmetry = P4mm (99)

Cell lengths 3.555, 3.555, 7.466 Å; angles 90.00, 90.00, 90.00 degrees
Fractional coordinates of all 4 atoms:
1 Sc 0.500 0.500 0.331
2 Pm 0.500 0.500 0.807
3 Cd 0.000 0.000 0.104
4 Al 0.000 0.000 0.543

---

--- ii ---
Crystalline PmScAlCd at its relaxed geometry, computed with GGA-PBE.

Output
V = 95.5 Å³ per cell
spin magnetization = 0.00 μB per formula unit
symmetry = F-43m (216)

Cell lengths 5.130, 5.130, 5.130 Å; angles 60.00, 60.00, 60.00 degrees
Fractional coordinates of all 4 atoms:
1 Cd 0.750 0.750 0.750
2 Sc 0.000 0.000 0.000
3 Pm 0.500 0.500 0.500
4 Al 0.250 0.250 0.250

---

Which of them is most stable, and which least? Most stable: i; least stable: ii.

---

--- i ---
Crystalline PmSmAlCd at its relaxed geometry, computed with GGA-PBE.

Output
V = 106.8 Å³ per cell
spin magnetization = 0.00 μB per formula unit
symmetry = F-43m (216)

Cell lengths 5.325, 5.325, 5.325 Å; angles 60.00, 60.00, 60.00 degrees
Fractional coordinates of all 4 atoms:
1 Sm 0.000 0.000 0.000
2 Al 0.250 0.250 0.250
3 Pm 0.500 0.500 0.500
4 Cd 0.750 0.750 0.750

---

--- ii ---
Crystalline PmSmAlCd at its relaxed geometry, computed with GGA-PBE.

Output
V = 105.5 Å³ per cell
spin magnetization = 0.00 μB per formula unit
symmetry = P4mm (99)

Cell lengths 3.580, 3.580, 8.233 Å; angles 90.00, 90.00, 90.00 degrees
Fractional coordinates of all 4 atoms:
1 Pm 0.500 0.500 0.121
2 Sm 0.500 0.500 0.594
3 Cd 0.000 0.000 0.855
4 Al 0.000 0.000 0.359

---

Which of them is most stable, and which least? Most stable: ii; least stable: i.

---

--- i ---
Crystalline TbPmAlCd at its relaxed geometry, computed with GGA-PBE.

Output
V = 103.6 Å³ per cell
spin magnetization = 0.00 μB per formula unit
symmetry = P4mm (99)

Cell lengths 3.652, 3.652, 7.765 Å; angles 90.00, 90.00, 90.00 degrees
Fractional coordinates of all 4 atoms:
1 Pm 0.500 0.500 0.120
2 Al 0.000 0.000 0.365
3 Tb 0.500 0.500 0.596
4 Cd 0.000 0.000 0.847

---

--- ii ---
Crystalline TbPmAlCd at its relaxed geometry, computed with GGA-PBE.

Output
V = 104.2 Å³ per cell
spin magnetization = 0.00 μB per formula unit
symmetry = F-43m (216)

Cell lengths 5.282, 5.282, 5.282 Å; angles 60.00, 60.00, 60.00 degrees
Fractional coordinates of all 4 atoms:
1 Tb 0.000 0.000 0.000
2 Al 0.750 0.750 0.750
3 Cd 0.250 0.250 0.250
4 Pm 0.500 0.500 0.500

---

Which of them is most stable, and which least? Most stable: i; least stable: ii.

---

--- i ---
Crystalline Pr6Al2Cd at its relaxed geometry, computed with GGA-PBE.

Output
V = 672.2 Å³ per cell
spin magnetization = 0.00 μB per formula unit
symmetry = P4_2/mnm (136)

Cell lengths 7.834, 7.834, 10.953 Å; angles 90.00, 90.00, 90.00 degrees
Fractional coordinates of all 18 atoms:
1 Pr 0.727 0.727 0.327
2 Pr 0.773 0.227 0.173
3 Pr 0.273 0.273 0.327
4 Pr 0.227 0.773 0.173
5 Pr 0.227 0.773 0.827
6 Pr 0.273 0.273 0.673
7 Pr 0.284 0.284 0.000
8 Pr 0.716 0.716 0.000
9 Pr 0.216 0.784 0.500
10 Pr 0.773 0.227 0.827
11 Pr 0.784 0.216 0.500
12 Pr 0.727 0.727 0.673
13 Cd 0.500 0.500 0.500
14 Cd 0.000 0.000 0.000
15 Al 0.000 0.000 0.666
16 Al 0.500 0.500 0.834
17 Al 0.000 0.000 0.334
18 Al 0.500 0.500 0.166

---

--- ii ---
Crystalline Pr6Al2Cd at its relaxed geometry, computed with GGA-PBE.

Output
V = 567.2 Å³ per cell
spin magnetization = 0.00 μB per formula unit
symmetry = Immm (71)

Cell lengths 9.041, 9.041, 9.041 Å; angles 105.90, 111.87, 110.71 degrees
Fractional coordinates of all 18 atoms:
1 Pr 0.286 0.608 0.323
2 Pr 0.797 0.753 0.550
3 Pr 0.909 0.727 0.182
4 Pr 0.203 0.247 0.450
5 Pr 0.797 0.247 0.045
6 Pr 0.546 0.727 0.818
7 Pr 0.714 0.037 0.323
8 Pr 0.091 0.273 0.818
9 Pr 0.714 0.392 0.677
10 Pr 0.454 0.273 0.182
11 Pr 0.203 0.753 0.955
12 Pr 0.286 0.963 0.677
13 Al 0.500 0.621 0.121
14 Al 0.500 0.379 0.879
15 Al 0.364 0.000 0.364
16 Al 0.636 0.000 0.636
17 Cd 0.000 0.500 0.500
18 Cd 0.000 0.000 0.000

---

Which of them is most stable, and which least? Most stable: ii; least stable: i.